Here is an optimized crystal structure of RePAuO2 from the Alexandria database. Energies are from PBE.

Calculated values
Formation energy without anion corrections in eV per atom: 1.19
E in eV/atom: -5.022
Magnetic moment in μB per cell: 3.76
SG: P4/mmm

Cell: 3.929 3.929 5.106 Å, 90.00 90.00 90.00°
Fractional coordinates of all 5 atoms:
Re 0.000 0.000 0.000
P 0.500 0.500 0.000
Au 0.500 0.500 0.500
O 0.000 0.500 0.500
O 0.500 0.000 0.500

Here is an optimized crystal structure of ReP2AuO from the Alexandria database. Energies are from PBE.

Calculated values
Formation energy without anion corrections in eV per atom: -0.01
E in eV/atom: -6.307
Magnetic moment in μB per cell: 0.00
SG: P4/mmm

Cell: 4.764 4.764 3.713 Å, 90.00 90.00 90.00°
Fractional coordinates of all 5 atoms:
Re 0.000 0.000 0.000
P 0.000 0.500 0.000
P 0.500 0.000 0.000
Au 0.500 0.500 0.500
O 0.000 0.000 0.500

Here is an optimized crystal structure of P2RhAuO from the Alexandria database. Energies are from PBE.

Calculated values
Formation energy without anion corrections in eV per atom: 0.34
E in eV/atom: -4.942
Magnetic moment in μB per cell: 0.00
SG: P4/mmm

Cell: 4.784 4.784 3.666 Å, 90.00 90.00 90.00°
Fractional coordinates of all 5 atoms:
P 0.000 0.500 0.000
P 0.500 0.000 0.000
Rh 0.000 0.000 0.000
Au 0.500 0.500 0.500
O 0.000 0.000 0.500

Here is an optimized crystal structure of P2RhAuO from the Alexandria database. Energies are from PBE.

Calculated values
Formation energy without anion corrections in eV per atom: 1.07
E in eV/atom: -4.210
Magnetic moment in μB per cell: 0.00
SG: P4/mmm

Cell: 4.808 4.808 3.846 Å, 90.00 90.00 90.00°
Fractional coordinates of all 5 atoms:
P 0.000 0.500 0.000
P 0.500 0.000 0.000
Rh 0.000 0.000 0.500
Au 0.500 0.500 0.000
O 0.500 0.500 0.500

Here is an optimized crystal structure of P2RuAuO from the Alexandria database. Energies are from PBE.

Calculated values
Formation energy without anion corrections in eV per atom: 0.19
E in eV/atom: -5.481
Magnetic moment in μB per cell: 0.00
SG: P4/mmm

Cell: 4.755 4.755 3.653 Å, 90.00 90.00 90.00°
Fractional coordinates of all 5 atoms:
P 0.000 0.500 0.000
P 0.500 0.000 0.000
Ru 0.000 0.000 0.000
Au 0.500 0.500 0.500
O 0.000 0.000 0.500

Here is an optimized crystal structure of P2RuAuO from the Alexandria database. Energies are from PBE.

Calculated values
Formation energy without anion corrections in eV per atom: 1.24
E in eV/atom: -4.426
Magnetic moment in μB per cell: 2.23
SG: P4/mmm

Cell: 4.797 4.797 3.875 Å, 90.00 90.00 90.00°
Fractional coordinates of all 5 atoms:
P 0.000 0.500 0.000
P 0.500 0.000 0.000
Ru 0.000 0.000 0.500
Au 0.500 0.500 0.000
O 0.500 0.500 0.500

Here is an optimized crystal structure of PAuS2O from the Alexandria database. Energies are from PBE.

Calculated values
Formation energy without anion corrections in eV per atom: 0.87
E in eV/atom: -3.507
Magnetic moment in μB per cell: 0.00
SG: P4/mmm

Cell: 4.624 4.624 3.762 Å, 90.00 90.00 90.00°
Fractional coordinates of all 5 atoms:
P 0.000 0.000 0.000
Au 0.500 0.500 0.000
S 0.000 0.500 0.500
S 0.500 0.000 0.500
O 0.000 0.000 0.500

Here is an optimized crystal structure of PAuS2O from the Alexandria database. Energies are from PBE.

Calculated values
Formation energy without anion corrections in eV per atom: 1.56
E in eV/atom: -2.817
Magnetic moment in μB per cell: 1.77
SG: P4/mmm

Cell: 4.866 4.866 4.848 Å, 90.00 90.00 90.00°
Fractional coordinates of all 5 atoms:
P 0.000 0.000 0.000
Au 0.000 0.000 0.500
S 0.000 0.500 0.500
S 0.500 0.000 0.500
O 0.500 0.500 0.000

Q: What is the formula in the second record?
A: ReP2AuO